The following is a GGA+U calculation of a relaxed MnVCO5 crystal, from the Alexandria database.

Computed properties:
- total DFT energy (no corrections) (eV for the cell shown) = -245.30
- magnetic moment (μB per atom) = 0.7500

CIF file:
```
data_MnVCO5
_chemical_formula_sum 'Mn4 V4 C4 O20'
_cell_length_a 6.2594
_cell_length_b 8.0348
_cell_length_c 6.8538
_cell_angle_alpha 90.00
_cell_angle_beta 113.71
_cell_angle_gamma 90.00
_space_group_name_H-M_alt 'C 1 2/c 1'
_space_group_IT_number 15
loop_
_space_group_symop_operation_xyz
'x,y,z'
'-x,-y,-z'
'-x,y,-z+1/2'
'x,-y,z+1/2'
'x+1/2,y+1/2,z'
'-x+1/2,-y+1/2,-z'
'-x+1/2,y+1/2,-z+1/2'
'x+1/2,-y+1/2,z+1/2'
loop_
_atom_site_label
_atom_site_type_symbol
_atom_site_fract_x
_atom_site_fract_y
_atom_site_fract_z
_atom_site_occupancy
Mn1 Mn 0.0000 0.1593 0.2500 1
V1 V 0.0000 0.5000 0.0000 1
C1 C 0.0000 0.1804 0.7500 1
O1 O 0.0000 0.4150 0.2500 1
O2 O 0.1063 0.2785 0.6435 1
O3 O 0.1629 0.0713 0.9002 1
```